No. 1
! KYCoC2 (GGA-PBEsol, relaxed); values from VASP
! Symmetry = P4/mmm (123)
! Formation energy = 2762.0 meV/atom
! N(E_F) = 1.039 states/eV per atom
! Spin magnetization = 1.82 Bohr magnetons per cell
! Calculated volume = 16.55 A^3/atom
&SYSTEM
  ibrav = 0, nat = 5, ntyp = 4
/
ATOMIC_SPECIES
Y 88.91 Y.upf
C 12.01 C.upf
Co 58.93 Co.upf
K 39.10 K.upf
CELL_PARAMETERS angstrom
4.145 0.000 0.000
0.000 4.467 0.000
0.000 0.000 4.467
ATOMIC_POSITIONS crystal
Y 0.500 0.500 0.500
C 0.000 0.500 0.000
Co 0.500 0.000 0.000
K 0.000 0.000 0.000
C 0.000 0.000 0.500

No. 2
! Re4Pb (GGA-PBEsol, relaxed); values from VASP
! Symmetry = I4/mmm (139)
! Formation energy = 620.5 meV/atom
! N(E_F) = 0.845 states/eV per atom
! Spin magnetization = 0.00 Bohr magnetons per cell
! Calculated volume = 18.64 A^3/atom
&SYSTEM
  ibrav = 0, nat = 5, ntyp = 2
/
ATOMIC_SPECIES
Re 186.21 Re.upf
Pb 207.20 Pb.upf
CELL_PARAMETERS angstrom
4.079 0.000 0.000
0.000 4.079 0.000
-2.039 -2.039 5.602
ATOMIC_POSITIONS crystal
Re 0.750 0.250 0.500
Re 0.382 0.382 0.764
Re 0.250 0.750 0.500
Re 0.618 0.618 0.236
Pb 0.000 0.000 0.000

No. 3
! CdB3Os (GGA-PBEsol, relaxed); values from VASP
! Symmetry = Pm-3m (221)
! Formation energy = 2965.8 meV/atom
! N(E_F) = 0.960 states/eV per atom
! Spin magnetization = 0.73 Bohr magnetons per cell
! Calculated volume = 13.66 A^3/atom
&SYSTEM
  ibrav = 0, nat = 5, ntyp = 3
/
ATOMIC_SPECIES
B 10.81 B.upf
Cd 112.41 Cd.upf
Os 190.23 Os.upf
CELL_PARAMETERS angstrom
-1.049 -2.201 3.281
-1.092 -3.101 -2.429
3.797 -1.500 0.207
ATOMIC_POSITIONS crystal
B 0.500 0.000 0.000
Cd 0.000 0.000 0.000
B 0.000 0.000 0.500
Os 0.500 0.500 0.500
B 0.000 0.500 0.000

No. 4
! RbTcMoH2 (GGA-PBEsol, relaxed); values from VASP
! Total DFT energy (no corrections) = -4.063 eV per atom
! Symmetry = P4/mmm (123)
! N(E_F) = 0.852 states/eV per atom
! Spin magnetization = 0.30 Bohr magnetons per cell
! Calculated volume = 17.00 A^3/atom
&SYSTEM
  ibrav = 0, nat = 5, ntyp = 4
/
ATOMIC_SPECIES
H 1.01 H.upf
Mo 95.94 Mo.upf
Rb 85.47 Rb.upf
Tc 98.00 Tc.upf
CELL_PARAMETERS angstrom
3.588 0.000 0.000
0.000 3.588 0.000
0.000 0.000 6.604
ATOMIC_POSITIONS crystal
H 0.000 0.500 0.000
Mo 0.000 0.000 0.500
H 0.500 0.000 0.000
Rb 0.000 0.000 0.000
Tc 0.500 0.500 0.500